Compound: CsGaSn
Source: Alexandria
Functional: PBE
Structure: relaxed

Calculated values
- energy relative to the elements (eV/atom) = -0.0124
- magnetic moment (μB per formula unit) = 0.000

Cell: 3.9332 3.9332 7.4501 Å, 105.31 105.31 90.00°
Element x y z (fractional)
Cs (0.0006, 0.0006, 0.0012)
Sn (0.7170, 0.7170, 0.4340)
Ga (0.2824, 0.2824, 0.5648)